1.
The following is a PBE calculation of a geometry-optimized Rb3NaY structure, from the Alexandria database.

Polymorph energy (0 for the lowest one) ... 0.098 eV per atom
Energy relative to the elements ... 788 meV per atom

a b c (Å): 7.632 7.632 7.632
angles (deg): 90.00 90.00 90.00
Space group Pm-3m (No. 221)
Inequivalent atoms, fractional coordinates:
Rb 0.000 0.000 0.500 (multiplicity 3)
Na 0.500 0.500 0.500 (multiplicity 1)
Y 0.000 0.000 0.000 (multiplicity 1)

---

2.
The following is a PBE calculation of a geometry-optimized CaMgPb6 structure, from the Alexandria database.

Energy relative to the elements ... -143 meV per atom

a b c (Å): 4.981 4.981 9.603
angles (deg): 90.00 90.00 90.00
Space group P4/mmm (No. 123)
Inequivalent atoms, fractional coordinates:
Ca 0.000 0.000 0.000 (multiplicity 1)
Mg 0.000 0.000 0.500 (multiplicity 1)
Pb 0.000 0.500 0.259 (multiplicity 4)
Pb 0.500 0.500 0.000 (multiplicity 1)
Pb 0.500 0.500 0.500 (multiplicity 1)

---

3.
The following is a PBE calculation of a geometry-optimized As2PbSe2 structure, from the Alexandria database.

Polymorph energy (0 for the lowest one) ... 0.114 eV per atom
Energy relative to the elements, uncorrected ... 0.647 eV/f.u.

a b c (Å): 5.342 5.342 8.809
angles (deg): 90.00 90.00 90.00
Space group I4/mmm (No. 139)
Inequivalent atoms, fractional coordinates:
As 0.000 0.000 0.163 (multiplicity 4)
Pb 0.000 0.000 0.500 (multiplicity 2)
Se 0.000 0.500 0.250 (multiplicity 4)

---

4.
The following is a PBE calculation of a geometry-optimized K4NdHo3Te8 structure, from the Alexandria database.

Energy relative to the elements, uncorrected ... -22.304 eV/f.u.

a b c (Å): 15.646 9.032 9.760
angles (deg): 90.00 122.35 90.00
Space group C2/m (No. 12)
Inequivalent atoms, fractional coordinates:
K 0.000 0.000 0.000 (multiplicity 2)
K 0.000 0.500 0.000 (multiplicity 2)
K 0.250 0.250 0.000 (multiplicity 4)
Nd 0.000 0.000 0.500 (multiplicity 2)
Ho 0.000 0.500 0.500 (multiplicity 2)
Ho 0.250 0.250 0.500 (multiplicity 4)
Te 0.015 0.256 0.290 (multiplicity 8)
Te 0.236 0.500 0.707 (multiplicity 4)
Te 0.241 0.000 0.710 (multiplicity 4)

---

5.
The following is a PBE calculation of a geometry-optimized KPuCuSe3 structure, from the Alexandria database.

Energy relative to the elements, uncorrected ... -6.490 eV/f.u.

a b c (Å): 9.088 4.122 9.525
angles (deg): 90.00 108.13 90.00
Space group P2_1/m (No. 11)
Inequivalent atoms, fractional coordinates:
K 0.201 0.250 0.241 (multiplicity 2)
Pu 0.321 0.750 0.842 (multiplicity 2)
Cu 0.080 0.250 0.591 (multiplicity 2)
Se 0.115 0.250 0.858 (multiplicity 2)
Se 0.205 0.750 0.531 (multiplicity 2)
Se 0.460 0.750 0.156 (multiplicity 2)

---

6.
The following is a PBE calculation of a geometry-optimized Nd2Sb3AsPd4 structure, from the Alexandria database.

Energy relative to the elements, uncorrected ... -8.238 eV/f.u.

a b c (Å): 4.619 4.619 10.366
angles (deg): 90.00 90.00 90.00
Space group P-4m2 (No. 115)
Inequivalent atoms, fractional coordinates:
Nd 0.000 0.500 0.248 (multiplicity 2)
Sb 0.000 0.000 0.000 (multiplicity 1)
Sb 0.000 0.500 0.631 (multiplicity 2)
As 0.500 0.500 0.000 (multiplicity 1)
Pd 0.000 0.000 0.500 (multiplicity 1)
Pd 0.000 0.500 0.882 (multiplicity 2)
Pd 0.500 0.500 0.500 (multiplicity 1)

---

7.
The following is a PBE calculation of a geometry-optimized AcPaTe2Se structure, from the Alexandria database.

Energy relative to the elements, uncorrected ... -5.846 eV/f.u.

a b c (Å): 4.440 4.440 15.949
angles (deg): 90.00 90.00 90.00
Space group P4/nmm (No. 129, origin choice 2)
Inequivalent atoms, fractional coordinates:
Ac 0.250 0.250 0.138 (multiplicity 2)
Pa 0.250 0.250 0.582 (multiplicity 2)
Te 0.250 0.250 0.385 (multiplicity 2)
Te 0.250 0.250 0.780 (multiplicity 2)
Se 0.250 0.750 0.000 (multiplicity 2)

---

8.
The following is a PBE calculation of a geometry-optimized MgTeCl2 structure, from the Alexandria database.

Polymorph energy (0 for the lowest one) ... 0.596 eV per atom
Energy relative to the elements, uncorrected ... -2.389 eV/f.u.

a b c (Å): 3.395 3.395 8.382
angles (deg): 90.00 90.00 90.00
Space group P4mm (No. 99)
Inequivalent atoms, fractional coordinates:
Mg 0.000 0.000 0.000 (multiplicity 1)
Te 0.500 0.500 0.268 (multiplicity 1)
Cl 0.000 0.000 0.492 (multiplicity 1)
Cl 0.500 0.500 0.851 (multiplicity 1)

---

9.
The following is a PBE calculation of a geometry-optimized AgSb2TeW structure, from the Alexandria database.

Polymorph energy (0 for the lowest one) ... 0.000 eV per atom
Energy relative to the elements, uncorrected ... 3.722 eV/f.u.

a b c (Å): 5.307 5.307 5.225
angles (deg): 90.00 90.00 90.00
Space group P4/mmm (No. 123)
Inequivalent atoms, fractional coordinates:
Ag 0.000 0.000 0.000 (multiplicity 1)
Sb 0.000 0.500 0.500 (multiplicity 2)
Te 0.500 0.500 0.000 (multiplicity 1)
W 0.500 0.500 0.500 (multiplicity 1)

---

10.
The following is a PBE calculation of a geometry-optimized Sc3Pb2 structure, from the Alexandria database.

Energy relative to the elements ... -318 meV per atom

a b c (Å): 5.815 5.815 14.801
angles (deg): 90.00 90.00 90.00
Space group I4_1/amd (No. 141, origin choice 2)
Inequivalent atoms, fractional coordinates:
Sc 0.000 0.000 0.000 (multiplicity 8)
Sc 0.000 0.250 0.375 (multiplicity 4)
Pb 0.000 0.250 0.176 (multiplicity 8)

---

11.
The following is a PBE calculation of a geometry-optimized Au2BrCl structure, from the Alexandria database.

Polymorph energy (0 for the lowest one) ... 0.246 eV per atom
Energy relative to the elements, uncorrected ... 0.576 eV/f.u.

a b c (Å): 3.728 3.728 7.175
angles (deg): 90.00 90.00 90.00
Space group P4mm (No. 99)
Inequivalent atoms, fractional coordinates:
Au 0.000 0.000 0.000 (multiplicity 1)
Au 0.500 0.500 0.144 (multiplicity 1)
Br 0.000 0.000 0.371 (multiplicity 1)
Cl 0.500 0.500 0.786 (multiplicity 1)

---

12.
The following is a PBE calculation of a geometry-optimized BaPb3F structure, from the Alexandria database.

Polymorph energy (0 for the lowest one) ... 0.000 eV per atom
Energy relative to the elements, uncorrected ... -3.816 eV/f.u.

a b c (Å): 5.323 5.323 5.323
angles (deg): 90.00 90.00 90.00
Space group Pm-3m (No. 221)
Inequivalent atoms, fractional coordinates:
Ba 0.000 0.000 0.000 (multiplicity 1)
Pb 0.000 0.500 0.500 (multiplicity 3)
F 0.500 0.500 0.500 (multiplicity 1)

---

13.
The following is a PBE calculation of a geometry-optimized YErSc2Se4 structure, from the Alexandria database.

Energy relative to the elements, uncorrected ... -13.240 eV/f.u.

a b c (Å): 6.890 3.944 6.895
angles (deg): 90.00 109.14 90.00
Space group P2/m (No. 10)
Inequivalent atoms, fractional coordinates:
Y 0.000 0.000 0.000 (multiplicity 1)
Er 0.000 0.500 0.500 (multiplicity 1)
Sc 0.500 0.000 0.500 (multiplicity 1)
Sc 0.500 0.500 0.000 (multiplicity 1)
Se 0.263 0.000 0.752 (multiplicity 2)
Se 0.265 0.500 0.257 (multiplicity 2)

---

14.
The following is a PBE calculation of a geometry-optimized CsSrSi3 structure, from the Alexandria database.

Polymorph energy (0 for the lowest one) ... 0.000 eV per atom
Energy relative to the elements, uncorrected ... 5.653 eV/f.u.

a b c (Å): 5.846 5.846 5.846
angles (deg): 90.00 90.00 90.00
Space group Pm-3m (No. 221)
Inequivalent atoms, fractional coordinates:
Cs 0.000 0.000 0.000 (multiplicity 1)
Sr 0.500 0.500 0.500 (multiplicity 1)
Si 0.000 0.500 0.500 (multiplicity 3)

---

15.
The following is a PBE calculation of a geometry-optimized CaAcPd10 structure, from the Alexandria database.

Energy relative to the elements ... -470 meV per atom

a b c (Å): 4.494 5.399 9.368
angles (deg): 90.00 90.00 90.00
Space group Pmmm (No. 47)
Inequivalent atoms, fractional coordinates:
Ca 0.000 0.000 0.000 (multiplicity 1)
Ac 0.000 0.500 0.500 (multiplicity 1)
Pd 0.000 0.000 0.327 (multiplicity 2)
Pd 0.000 0.500 0.162 (multiplicity 2)
Pd 0.500 0.000 0.500 (multiplicity 1)
Pd 0.500 0.250 0.249 (multiplicity 4)
Pd 0.500 0.500 0.000 (multiplicity 1)

---

16.
The following is a PBE calculation of a geometry-optimized Tm6Sc3Pb structure, from the Alexandria database.

Polymorph energy (0 for the lowest one) ... 0.000 eV per atom
Energy relative to the elements ... 21 meV per atom

a b c (Å): 10.417 18.036 6.039
angles (deg): 90.00 90.00 90.00
Space group Cmc2_1 (No. 36)
Inequivalent atoms, fractional coordinates:
Tm 0.000 0.058 0.000 (multiplicity 4)
Tm 0.000 0.285 0.745 (multiplicity 4)
Tm 0.163 0.459 0.645 (multiplicity 8)
Tm 0.248 0.296 0.445 (multiplicity 8)
Sc 0.000 0.388 0.186 (multiplicity 4)
Sc 0.162 0.114 0.524 (multiplicity 8)
Pb 0.000 0.219 0.241 (multiplicity 4)

---

17.
The following is a PBE calculation of a geometry-optimized Co2NiP structure, from the Alexandria database.

Energy relative to the elements ... -112 meV per atom

a b c (Å): 2.681 2.681 5.984
angles (deg): 90.00 90.00 90.00
Space group P4/mmm (No. 123)
Inequivalent atoms, fractional coordinates:
Co 0.000 0.000 0.214 (multiplicity 2)
Ni 0.500 0.500 0.500 (multiplicity 1)
P 0.500 0.500 0.000 (multiplicity 1)

---

18.
The following is a PBE calculation of a geometry-optimized HfV2Mo4 structure, from the Alexandria database.

Energy relative to the elements ... 129 meV per atom

a b c (Å): 3.235 22.265 3.148
angles (deg): 90.00 90.00 90.00
Space group Cmmm (No. 65)
Inequivalent atoms, fractional coordinates:
Hf 0.000 0.000 0.000 (multiplicity 2)
V 0.000 0.289 0.500 (multiplicity 4)
Mo 0.000 0.149 0.000 (multiplicity 4)
Mo 0.000 0.420 0.500 (multiplicity 4)

---

19.
The following is a PBE calculation of a geometry-optimized LaMg2AlAg4 structure, from the Alexandria database.

Energy relative to the elements ... -198 meV per atom

a b c (Å): 4.6368 4.6368 27.3466
angles (deg): 90.00 90.00 120.00
Space group R-3m (No. 166, hexagonal axes)
Inequivalent atoms, fractional coordinates:
La 0.0000 0.0000 0.0000 (multiplicity 3)
Mg 0.0000 0.0000 0.2397 (multiplicity 6)
Al 0.0000 0.0000 0.5000 (multiplicity 3)
Ag 0.0000 0.0000 0.1332 (multiplicity 6)
Ag 0.0000 0.0000 0.4013 (multiplicity 6)

---

20.
The following is a PBE calculation of a geometry-optimized OsRuRh structure, from the Alexandria database.

Polymorph energy (0 for the lowest one) ... 0.000 eV per atom
Energy relative to the elements ... 55 meV per atom

a b c (Å): 13.241 2.730 4.733
angles (deg): 90.00 96.78 90.00
Space group C2/m (No. 12)
Inequivalent atoms, fractional coordinates:
Os 0.249 0.000 0.260 (multiplicity 4)
Ru 0.085 0.500 0.360 (multiplicity 4)
Rh 0.083 0.000 0.861 (multiplicity 4)

---

21.
The following is a PBE calculation of a geometry-optimized NbInAu structure, from the Alexandria database.

Energy relative to the elements ... 245 meV per atom

a b c (Å): 4.776 4.757 6.078
angles (deg): 90.00 90.20 90.00
Space group Pm (No. 6)
Inequivalent atoms, fractional coordinates:
Nb 0.000 0.000 0.000 (multiplicity 1)
Nb 0.490 0.000 0.246 (multiplicity 1)
In 0.503 0.000 0.750 (multiplicity 1)
In 0.849 0.500 0.253 (multiplicity 1)
Au 0.080 0.500 0.781 (multiplicity 1)
Au 0.999 0.000 0.507 (multiplicity 1)

---

22.
The following is a PBE calculation of a geometry-optimized ReIrPd structure, from the Alexandria database.

Polymorph energy (0 for the lowest one) ... 0.560 eV per atom
Energy relative to the elements ... 518 meV per atom

a b c (Å): 6.941 3.727 8.657
angles (deg): 90.00 107.14 90.00
Space group C2/m (No. 12)
Inequivalent atoms, fractional coordinates:
Re 0.081 0.000 0.271 (multiplicity 4)
Ir 0.194 0.000 0.594 (multiplicity 4)
Pd 0.193 0.500 0.092 (multiplicity 4)

---

23.
The following is a PBE calculation of a geometry-optimized LiZn2As structure, from the Alexandria database.

Energy relative to the elements ... -189 meV per atom

a b c (Å): 3.936 3.936 4.080
angles (deg): 90.00 90.00 90.00
Space group P4/mmm (No. 123)
Inequivalent atoms, fractional coordinates:
Li 0.000 0.000 0.000 (multiplicity 1)
Zn 0.000 0.500 0.500 (multiplicity 2)
As 0.500 0.500 0.000 (multiplicity 1)

---

24.
The following is a PBE calculation of a geometry-optimized Er2AlZn4 structure, from the Alexandria database.

Energy relative to the elements ... -107 meV per atom

a b c (Å): 6.417 6.417 3.630
angles (deg): 90.00 90.00 90.00
Space group P4/mmm (No. 123)
Inequivalent atoms, fractional coordinates:
Er 0.000 0.500 0.000 (multiplicity 2)
Al 0.000 0.000 0.500 (multiplicity 1)
Zn 0.300 0.300 0.500 (multiplicity 4)

---

25.
The following is a PBE calculation of a geometry-optimized Sm2Be3GaPt4 structure, from the Alexandria database.

Energy relative to the elements ... -901 meV per atom

a b c (Å): 4.100 4.100 9.891
angles (deg): 90.00 90.00 90.00
Space group P-4m2 (No. 115)
Inequivalent atoms, fractional coordinates:
Sm 0.000 0.500 0.243 (multiplicity 2)
Be 0.000 0.500 0.883 (multiplicity 2)
Be 0.500 0.500 0.500 (multiplicity 1)
Ga 0.000 0.000 0.500 (multiplicity 1)
Pt 0.000 0.000 0.000 (multiplicity 1)
Pt 0.000 0.500 0.644 (multiplicity 2)
Pt 0.500 0.500 0.000 (multiplicity 1)

---

no.,calculated total energy (Ry per atom)
1,-0.09917
2,-0.24799
3,-0.28413
4,-0.32307
5,-0.44674
6,-0.40837
7,-0.42949
8,-0.19879
9,-0.34499
10,-0.41163
11,-0.17454
12,-0.27540
13,-0.46734
14,-0.19333
15,-0.39001
16,-0.36253
17,-0.47502
18,-0.74143
19,-0.22826
20,-0.67842
21,-0.37605
22,-0.61118
23,-0.18133
24,-0.19646
25,-0.41762